# Ba2TbCdO5, optimized geometry, DFT PBE
# total moment: 4.3 μB per cell
# formation energy (no corrections): -2260 meV per atom
# ρ: 6.6 g/cm³
# electronic total energy: -0.2226 hartree per atom
data_Ba2TbCdO5
_chemical_formula_sum 'Ba8 Tb4 Cd4 O20'
_space_group_name_H-M_alt 'C m c 21'
_space_group_IT_number 36
_space_group_name_Hall 'C 2c -2'
_cell_length_a 3.650
_cell_length_b 15.110
_cell_length_c 11.384
_cell_angle_alpha 90.00
_cell_angle_beta 90.00
_cell_angle_gamma 90.00
loop_
_atom_site_label
_atom_site_fract_x
_atom_site_fract_y
_atom_site_fract_z
Ba1 0.000 0.113 0.000
Ba2 0.000 0.132 0.595
Tb1 0.000 0.215 0.307
Cd1 0.000 0.483 0.779
O1 0.000 0.067 0.361
O2 0.000 0.282 0.940
O3 0.000 0.302 0.680
O4 0.000 0.364 0.307
O5 0.000 0.498 0.087